# 1
Entry from Alexandria via LeMat-Bulk: an optimized crystal structure of RbMgNpS3 (PBE).

Raw formation energy, eV per atom: -1.335
SG: No. 11
Total energy, eV per atom: -5.98

Cell lengths 9.045, 4.152, 9.900 Å; angles 90.00, 107.81, 90.00 degrees
Positions (direct):
Rb 0.207 0.250 0.226
Rb 0.793 0.750 0.774
Mg 0.087 0.250 0.610
Mg 0.913 0.750 0.390
Np 0.334 0.750 0.861
Np 0.666 0.250 0.139
S 0.125 0.250 0.861
S 0.191 0.750 0.541
S 0.468 0.750 0.147
S 0.532 0.250 0.853
S 0.809 0.250 0.459
S 0.875 0.750 0.139

# 2
Entry from Alexandria via LeMat-Bulk: an optimized crystal structure of Rb3MgNp2S6 (PBE).

Raw formation energy, eV per atom: -1.343
SG: No. 12
Total energy, eV per atom: -5.94

Cell lengths 7.011, 7.011, 7.998 Å; angles 98.38, 98.38, 120.01 degrees
Positions (direct):
Rb 0.000 0.000 0.000
Rb 0.335 0.665 0.000
Rb 0.665 0.335 0.000
Mg 0.500 0.500 0.500
Np 0.167 0.833 0.500
Np 0.833 0.167 0.500
S 0.105 0.437 0.312
S 0.230 0.230 0.687
S 0.437 0.105 0.312
S 0.563 0.895 0.688
S 0.770 0.770 0.313
S 0.895 0.563 0.688

# 3
Entry from Alexandria via LeMat-Bulk: an optimized crystal structure of Rb2Mg2NpSe4 (PBE).

Raw formation energy, eV per atom: -1.115
SG: No. 12
Total energy, eV per atom: -4.67

Cell lengths 8.366, 8.366, 8.280 Å; angles 107.14, 107.14, 29.76 degrees
Positions (direct):
Rb 0.126 0.126 0.042
Rb 0.874 0.874 0.958
Mg 0.329 0.329 0.519
Mg 0.671 0.671 0.481
Np 0.000 0.000 0.500
Se 0.205 0.205 0.672
Se 0.481 0.481 0.735
Se 0.519 0.519 0.265
Se 0.795 0.795 0.328

Which value of raw formation energy does entry 1 give? -1.335 eV per atom